Record 1
{"formula": "GaPPdO2", "functional": "GGA-PBE", "state": "optimized geometry", "de_polymorph_mev_per_atom": 0, "space_group": "P4/mmm (123)", "energy_ev_per_atom": -4.8644, "e_form_raw_mev_per_atom": -155.2, "cell": [[3.586, 0.000, 0.000], [0.000, 3.586, 0.000], [0.000, 0.000, 6.901]], "species": ["Ga", "P", "Pd", "O", "O"], "fractional_positions": [[0.000, 0.000, 0.000], [0.000, 0.000, 0.500], [0.500, 0.500, 0.500], [0.000, 0.500, 0.000], [0.500, 0.000, 0.000]]}

=====

Record 2
{"formula": "GaP2PdO", "functional": "GGA-PBE", "state": "optimized geometry", "de_polymorph_mev_per_atom": 94, "space_group": "P4/mmm (123)", "energy_ev_per_atom": -4.3154, "e_form_raw_mev_per_atom": 484.1, "cell": [[4.824, 0.000, 0.000], [0.000, 4.824, 0.000], [0.000, 0.000, 3.824]], "species": ["Ga", "P", "P", "Pd", "O"], "fractional_positions": [[0.000, 0.000, 0.000], [0.000, 0.500, 0.500], [0.500, 0.000, 0.500], [0.500, 0.500, 0.500], [0.500, 0.500, 0.000]]}

=====

Record 3
{"formula": "GaPPdO2", "functional": "GGA-PBE", "state": "optimized geometry", "de_polymorph_mev_per_atom": 305, "space_group": "P4/mmm (123)", "energy_ev_per_atom": -4.5594, "e_form_raw_mev_per_atom": 149.8, "cell": [[3.889, 0.000, 0.000], [0.000, 3.889, 0.000], [0.000, 0.000, 5.033]], "species": ["Ga", "P", "Pd", "O", "O"], "fractional_positions": [[0.000, 0.000, 0.000], [0.500, 0.500, 0.000], [0.500, 0.500, 0.500], [0.000, 0.500, 0.500], [0.500, 0.000, 0.500]]}

=====

Record 4
{"formula": "GaP2PdO", "functional": "GGA-PBE", "state": "optimized geometry", "de_polymorph_mev_per_atom": 0, "space_group": "P4/mmm (123)", "energy_ev_per_atom": -4.4095, "e_form_raw_mev_per_atom": 390.0, "cell": [[4.882, 0.000, 0.000], [0.000, 4.882, 0.000], [0.000, 0.000, 3.503]], "species": ["Ga", "P", "P", "Pd", "O"], "fractional_positions": [[0.000, 0.000, 0.000], [0.000, 0.500, 0.000], [0.500, 0.000, 0.000], [0.500, 0.500, 0.500], [0.000, 0.000, 0.500]]}

=====

Record 5
{"formula": "PmGaP2O8", "functional": "GGA-PBE", "state": "optimized geometry", "space_group": "P-3 (147)", "energy_ev_per_atom": -7.3212, "e_form_raw_mev_per_atom": -2465.9, "cell": [[4.977, 0.000, 0.000], [-2.488, 4.310, 0.000], [0.000, 0.000, 6.778]], "species": ["Pm", "Ga", "P", "P", "O", "O", "O", "O", "O", "O", "O", "O"], "fractional_positions": [[0.000, 0.000, 0.000], [0.000, 0.000, 0.500], [0.333, 0.667, 0.758], [0.667, 0.333, 0.242], [0.095, 0.334, 0.690], [0.239, 0.905, 0.690], [0.333, 0.667, 0.985], [0.334, 0.239, 0.310], [0.666, 0.761, 0.690], [0.667, 0.333, 0.015], [0.761, 0.095, 0.310], [0.905, 0.666, 0.310]]}

=====

Record 6
{"formula": "GaPPtO2", "functional": "GGA-PBE", "state": "optimized geometry", "de_polymorph_mev_per_atom": 0, "space_group": "P4/mmm (123)", "energy_ev_per_atom": -5.0457, "e_form_raw_mev_per_atom": -166.9, "cell": [[3.556, 0.000, 0.000], [0.000, 3.556, 0.000], [0.000, 0.000, 7.779]], "species": ["Ga", "P", "Pt", "O", "O"], "fractional_positions": [[0.000, 0.000, 0.000], [0.000, 0.000, 0.500], [0.500, 0.500, 0.500], [0.000, 0.500, 0.000], [0.500, 0.000, 0.000]]}